Entry w
A geometry-optimized SmTm4Th2 structure. Source: the Alexandria database, functional PBE.

Lattice parameters (Å, degrees): 5.5159 5.5159 16.6320 90.00 90.00 90.00
Space group I4/mmm (No. 139)
One atom of each set of equivalent atoms:
Sm1 0.0000 0.0000 0.0000 (multiplicity 2)
Tm1 0.0000 0.0000 0.1787 (multiplicity 4)
Tm2 0.0000 0.5000 0.0000 (multiplicity 4)
Th1 0.0000 0.0000 0.3852 (multiplicity 4)

Calculated values
DOS at the Fermi energy: 1.659 states/eV per atom
Spin magnetization: 0.00 μB/atom

***

Entry x
A geometry-optimized SmTm4Th2 structure. Source: the Alexandria database, functional PBE.

Lattice parameters (Å, degrees): 3.4842 8.7071 8.7408 119.59 90.05 101.47
Space group P-1 (No. 2)
One atom of each set of equivalent atoms:
Sm1 0.0000 0.0000 0.0000 (multiplicity 1)
Tm1 0.2949 0.5879 0.7065 (multiplicity 2)
Tm2 0.3511 0.7036 0.1536 (multiplicity 2)
Th1 0.0682 0.1378 0.4348 (multiplicity 2)

Calculated values
DOS at the Fermi energy: 1.644 states/eV per atom
Spin magnetization: 0.00 μB/atom

***

Energies relative to the minimum, meV per atom: entry w 719; entry x 0

***

Entry w
A geometry-optimized SmYTmTh structure. Source: the Alexandria database, functional PBE.

Lattice parameters (Å, degrees): 3.5960 3.5960 34.4376 90.00 90.00 120.00
Space group R3m (No. 160, hexagonal axes)
One atom of each set of equivalent atoms:
Sm1 0.0000 0.0000 0.0000 (multiplicity 3)
Y1 0.0000 0.0000 0.2475 (multiplicity 3)
Tm1 0.0000 0.0000 0.8309 (multiplicity 3)
Th1 0.0000 0.0000 0.4162 (multiplicity 3)

Calculated values
DOS at the Fermi energy: 1.483 states/eV per atom
Spin magnetization: 0.05 μB/atom

***

Entry x
A geometry-optimized SmYTmTh structure. Source: the Alexandria database, functional PBE.

Lattice parameters (Å, degrees): 8.0359 8.0359 8.0359 90.00 90.00 90.00
Space group F-43m (No. 216)
One atom of each set of equivalent atoms:
Sm1 0.0000 0.0000 0.0000 (multiplicity 4)
Y1 0.2500 0.2500 0.7500 (multiplicity 4)
Tm1 0.2500 0.2500 0.2500 (multiplicity 4)
Th1 0.0000 0.0000 0.5000 (multiplicity 4)

Calculated values
DOS at the Fermi energy: 2.081 states/eV per atom
Spin magnetization: 0.00 μB/atom

***

Energies relative to the minimum, meV per atom: entry w 0; entry x 121

***

Entry w
A geometry-optimized SmY2Th structure. Source: the Alexandria database, functional PBE.

Lattice parameters (Å, degrees): 5.0800 5.0800 5.0406 90.00 90.00 90.00
Space group P4/mmm (No. 123)
One atom of each set of equivalent atoms:
Sm1 0.0000 0.0000 0.0000 (multiplicity 1)
Y1 0.0000 0.5000 0.5000 (multiplicity 2)
Th1 0.5000 0.5000 0.0000 (multiplicity 1)

Calculated values
DOS at the Fermi energy: 1.303 states/eV per atom
Spin magnetization: 0.00 μB/atom

***

Entry x
A geometry-optimized SmY2Th structure. Source: the Alexandria database, functional PBE.

Lattice parameters (Å, degrees): 3.6098 3.6098 34.6894 90.00 90.00 120.00
Space group R3m (No. 160, hexagonal axes)
One atom of each set of equivalent atoms:
Sm1 0.0000 0.0000 0.0000 (multiplicity 3)
Y1 0.0000 0.0000 0.2486 (multiplicity 3)
Y2 0.0000 0.0000 0.4192 (multiplicity 3)
Th1 0.0000 0.0000 0.8341 (multiplicity 3)

Calculated values
DOS at the Fermi energy: 1.628 states/eV per atom
Spin magnetization: 0.00 μB/atom

***

Energies relative to the minimum, meV per atom: entry w 31; entry x 0

***

Entry w
A geometry-optimized SmYTh structure. Source: the Alexandria database, functional PBE.

Lattice parameters (Å, degrees): 4.9376 4.9376 8.5614 90.00 90.00 90.00
Space group P4/nmm (No. 129, origin choice 2)
One atom of each set of equivalent atoms:
Sm1 0.2500 0.2500 0.2136 (multiplicity 2)
Y1 0.2500 0.2500 0.7977 (multiplicity 2)
Th1 0.2500 0.7500 0.5000 (multiplicity 2)

Calculated values
DOS at the Fermi energy: 1.209 states/eV per atom
Spin magnetization: 0.00 μB/atom

***

Entry x
A geometry-optimized SmYTh structure. Source: the Alexandria database, functional PBE.

Lattice parameters (Å, degrees): 3.5976 3.5976 8.7842 90.00 90.00 120.00
Space group P3m1 (No. 156)
One atom of each set of equivalent atoms:
Sm1 0.0000 0.0000 0.0000 (multiplicity 1)
Y1 0.3333 0.6667 0.6500 (multiplicity 1)
Th1 0.6667 0.3333 0.3267 (multiplicity 1)

Calculated values
DOS at the Fermi energy: 1.668 states/eV per atom
Spin magnetization: 0.00 μB/atom

***

Entry y
A geometry-optimized SmYTh structure. Source: the Alexandria database, functional PBE.

Lattice parameters (Å, degrees): 3.5483 5.3828 10.4042 90.00 99.77 90.00
Space group P2_1/m (No. 11)
One atom of each set of equivalent atoms:
Sm1 0.0443 0.2500 0.0838 (multiplicity 2)
Y1 0.3764 0.2500 0.7566 (multiplicity 2)
Th1 0.2095 0.2500 0.4175 (multiplicity 2)

Calculated values
DOS at the Fermi energy: 1.731 states/eV per atom
Spin magnetization: 0.00 μB/atom

***

Energies relative to the minimum, meV per atom: entry w 171; entry x 0; entry y 32

***

Entry w
A geometry-optimized Sm4YTh2 structure. Source: the Alexandria database, functional PBE.

Lattice parameters (Å, degrees): 5.6402 5.6402 16.7965 90.00 90.00 90.00
Space group I4/mmm (No. 139)
One atom of each set of equivalent atoms:
Sm1 0.0000 0.0000 0.1871 (multiplicity 4)
Sm2 0.0000 0.5000 0.0000 (multiplicity 4)
Y1 0.0000 0.0000 0.0000 (multiplicity 2)
Th1 0.0000 0.0000 0.3894 (multiplicity 4)

Calculated values
DOS at the Fermi energy: 2.109 states/eV per atom
Spin magnetization: 0.18 μB/atom

***

Entry x
A geometry-optimized Sm4YTh2 structure. Source: the Alexandria database, functional PBE.

Lattice parameters (Å, degrees): 4.9126 5.1322 9.8966 90.00 90.07 90.00
Space group P2/m (No. 10)
One atom of each set of equivalent atoms:
Sm1 0.9997 0.0000 0.2411 (multiplicity 2)
Sm2 0.4999 0.5000 0.2488 (multiplicity 2)
Y1 0.0000 0.5000 0.5000 (multiplicity 1)
Th1 0.0000 0.5000 0.0000 (multiplicity 1)
Th2 0.5000 0.0000 0.5000 (multiplicity 1)

Calculated values
DOS at the Fermi energy: 1.710 states/eV per atom
Spin magnetization: 0.00 μB/atom

***

Energies relative to the minimum, meV per atom: entry w 440; entry x 0

***

Entry w
A geometry-optimized Sm4Y2Th structure. Source: the Alexandria database, functional PBE.

Lattice parameters (Å, degrees): 6.2790 3.6260 20.5827 90.00 95.98 90.00
Space group Cm (No. 8)
One atom of each set of equivalent atoms:
Sm1 0.0000 0.0000 0.0000 (multiplicity 2)
Sm2 0.0184 0.5000 0.5679 (multiplicity 2)
Sm3 0.0895 0.0000 0.2825 (multiplicity 2)
Sm4 0.1145 0.5000 0.8538 (multiplicity 2)
Y1 0.2107 0.5000 0.1410 (multiplicity 2)
Y2 0.3006 0.5000 0.4248 (multiplicity 2)
Th1 0.3998 0.5000 0.7112 (multiplicity 2)

Calculated values
DOS at the Fermi energy: 1.696 states/eV per atom
Spin magnetization: 0.00 μB/atom

***

Entry x
A geometry-optimized Sm4Y2Th structure. Source: the Alexandria database, functional PBE.

Lattice parameters (Å, degrees): 6.7681 11.5615 12.2032 90.00 90.00 90.00
Space group Imma (No. 74)
One atom of each set of equivalent atoms:
Sm1 0.0000 0.0040 0.1510 (multiplicity 8)
Sm2 0.2225 0.2500 0.9891 (multiplicity 8)
Y1 0.0000 0.0000 0.5000 (multiplicity 4)
Y2 0.0000 0.2500 0.7209 (multiplicity 4)
Th1 0.2500 0.2500 0.2500 (multiplicity 4)

Calculated values
DOS at the Fermi energy: 1.786 states/eV per atom
Spin magnetization: 0.00 μB/atom

***

Energies relative to the minimum, meV per atom: entry w 0; entry x 266